VASP calculation (PBE) on a relaxed structure of Lu2CdOs.

Computed properties:
- Formation energy from the elements: -0.40 eV/atom
- Excess energy over the best structure of this formula in the dataset: 0.000 eV/atom

abc: 3.3865 3.3865 7.6029
angles: 90.00 90.00 90.00
Space group P4/mmm (No. 123)
Unique sites:
Lu 0.0000 0.0000 0.2119 [2 per cell]
Cd 0.5000 0.5000 0.5000 [1 per cell]
Os 0.5000 0.5000 0.0000 [1 per cell]

***

VASP calculation (PBE) on a relaxed structure of LuPaCdOs.

Computed properties:
- Formation energy from the elements: -0.04 eV/atom

abc: 7.0653 7.0653 7.0653
angles: 90.00 90.00 90.00
Space group F-43m (No. 216)
Unique sites:
Lu 0.0000 0.0000 0.0000 [4 per cell]
Pa 0.0000 0.0000 0.5000 [4 per cell]
Cd 0.2500 0.2500 0.7500 [4 per cell]
Os 0.2500 0.2500 0.2500 [4 per cell]

***

VASP calculation (PBE) on a relaxed structure of LuPuCdOs.

Computed properties:
- Formation energy from the elements: -0.03 eV/atom

abc: 7.0336 7.0336 7.0336
angles: 90.00 90.00 90.00
Space group F-43m (No. 216)
Unique sites:
Lu 0.0000 0.0000 0.0000 [4 per cell]
Pu 0.0000 0.0000 0.5000 [4 per cell]
Cd 0.2500 0.2500 0.7500 [4 per cell]
Os 0.2500 0.2500 0.2500 [4 per cell]

***

VASP calculation (PBE) on a relaxed structure of TbLuCdOs.

Computed properties:
- Formation energy from the elements: -0.23 eV/atom

abc: 7.0356 7.0356 7.0356
angles: 90.00 90.00 90.00
Space group F-43m (No. 216)
Unique sites:
Tb 0.0000 0.0000 0.0000 [4 per cell]
Lu 0.0000 0.0000 0.5000 [4 per cell]
Cd 0.2500 0.2500 0.7500 [4 per cell]
Os 0.2500 0.2500 0.2500 [4 per cell]

***

VASP calculation (PBE) on a relaxed structure of TmLuCdOs.

Computed properties:
- Formation energy from the elements: -0.27 eV/atom

abc: 6.9722 6.9722 6.9722
angles: 90.00 90.00 90.00
Space group F-43m (No. 216)
Unique sites:
Tm 0.0000 0.0000 0.0000 [4 per cell]
Lu 0.0000 0.0000 0.5000 [4 per cell]
Cd 0.2500 0.2500 0.2500 [4 per cell]
Os 0.2500 0.2500 0.7500 [4 per cell]

***

VASP calculation (PBE) on a relaxed structure of YLuCdOs.

Computed properties:
- Formation energy from the elements: -0.24 eV/atom

abc: 7.0290 7.0290 7.0290
angles: 90.00 90.00 90.00
Space group F-43m (No. 216)
Unique sites:
Y 0.0000 0.0000 0.0000 [4 per cell]
Lu 0.0000 0.0000 0.5000 [4 per cell]
Cd 0.2500 0.2500 0.2500 [4 per cell]
Os 0.2500 0.2500 0.7500 [4 per cell]

***

VASP calculation (PBE) on a relaxed structure of LuZrCdOs.

Computed properties:
- Formation energy from the elements: -0.23 eV/atom

abc: 6.8649 6.8649 6.8649
angles: 90.00 90.00 90.00
Space group F-43m (No. 216)
Unique sites:
Lu 0.0000 0.0000 0.0000 [4 per cell]
Zr 0.0000 0.0000 0.5000 [4 per cell]
Cd 0.2500 0.2500 0.2500 [4 per cell]
Os 0.2500 0.2500 0.7500 [4 per cell]

***

VASP calculation (PBE) on a relaxed structure of LuPaCd4.

Computed properties:
- Formation energy from the elements: 0.03 eV/atom

abc: 8.3031 8.3031 8.3031
angles: 90.00 90.00 90.00
Space group F-43m (No. 216)
Unique sites:
Lu 0.0000 0.0000 0.0000 [4 per cell]
Pa 0.2500 0.2500 0.7500 [4 per cell]
Cd 0.1250 0.1250 0.3750 [16 per cell]

***

VASP calculation (PBE) on a relaxed structure of Lu2CdPb.

Computed properties:
- Formation energy from the elements: -0.30 eV/atom

abc: 3.8177 3.8177 7.1260
angles: 90.00 90.00 90.00
Space group P4/mmm (No. 123)
Unique sites:
Lu 0.0000 0.0000 0.2438 [2 per cell]
Cd 0.5000 0.5000 0.0000 [1 per cell]
Pb 0.5000 0.5000 0.5000 [1 per cell]

***

VASP calculation (PBE) on a relaxed structure of LuCdPb2.

Computed properties:
- Formation energy from the elements: -0.11 eV/atom
- Excess energy over the best structure of this formula in the dataset: 0.106 eV/atom

abc: 3.9758 3.9758 6.9359
angles: 90.00 90.00 90.00
Space group P4/mmm (No. 123)
Unique sites:
Lu 0.0000 0.0000 0.0000 [1 per cell]
Cd 0.0000 0.0000 0.5000 [1 per cell]
Pb 0.5000 0.5000 0.2536 [2 per cell]

***

VASP calculation (PBE) on a relaxed structure of LuCdPb2.

Computed properties:
- Formation energy from the elements: -0.21 eV/atom
- Excess energy over the best structure of this formula in the dataset: 0.000 eV/atom

abc: 4.8763 4.8763 4.4542
angles: 90.00 90.00 90.00
Space group P4/mmm (No. 123)
Unique sites:
Lu 0.0000 0.0000 0.0000 [1 per cell]
Cd 0.5000 0.5000 0.0000 [1 per cell]
Pb 0.0000 0.5000 0.5000 [2 per cell]

***

VASP calculation (PBE) on a relaxed structure of Lu2CdPb.

Computed properties:
- Formation energy from the elements: 0.01 eV/atom

abc: 3.4745 3.4745 33.5871
angles: 90.00 90.00 120.00
Space group R-3m (No. 166, hexagonal axes)
Unique sites:
Lu 0.0000 0.0000 0.0933 [6 per cell]
Cd 0.0000 0.0000 0.5000 [3 per cell]
Pb 0.0000 0.0000 0.0000 [3 per cell]

***

VASP calculation (PBE) on a relaxed structure of Lu2CdPb.

Computed properties:
- Formation energy from the elements: -0.31 eV/atom

abc: 4.8762 4.8762 4.3333
angles: 90.00 90.00 90.00
Space group P4/mmm (No. 123)
Unique sites:
Lu 0.0000 0.5000 0.0000 [2 per cell]
Cd 0.0000 0.0000 0.5000 [1 per cell]
Pb 0.5000 0.5000 0.5000 [1 per cell]

***

VASP calculation (PBE) on a relaxed structure of LuCd2Pb.

Computed properties:
- Formation energy from the elements: -0.05 eV/atom
- Excess energy over the best structure of this formula in the dataset: 0.193 eV/atom

abc: 7.4650 7.4650 7.4650
angles: 90.00 90.00 90.00
Space group Fm-3m (No. 225)
Unique sites:
Lu 0.0000 0.0000 0.0000 [4 per cell]
Cd 0.2500 0.2500 0.2500 [8 per cell]
Pb 0.0000 0.0000 0.5000 [4 per cell]

***

VASP calculation (PBE) on a relaxed structure of LuCd4Pb.

Computed properties:
- Formation energy from the elements: -0.06 eV/atom

abc: 8.4066 8.4066 8.4066
angles: 90.00 90.00 90.00
Space group F-43m (No. 216)
Unique sites:
Lu 0.0000 0.0000 0.0000 [4 per cell]
Cd 0.1253 0.1253 0.3747 [16 per cell]
Pb 0.2500 0.2500 0.7500 [4 per cell]

***

VASP calculation (PBE) on a relaxed structure of LuCd2Pb.

Computed properties:
- Formation energy from the elements: -0.24 eV/atom
- Excess energy over the best structure of this formula in the dataset: 0.000 eV/atom

abc: 4.4693 4.4693 4.9254
angles: 90.00 90.00 90.00
Space group P4/mmm (No. 123)
Unique sites:
Lu 0.0000 0.0000 0.0000 [1 per cell]
Cd 0.0000 0.5000 0.5000 [2 per cell]
Pb 0.5000 0.5000 0.0000 [1 per cell]

***

VASP calculation (PBE) on a relaxed structure of LuCdPb2.

Computed properties:
- Formation energy from the elements: -0.04 eV/atom
- Excess energy over the best structure of this formula in the dataset: 0.170 eV/atom

abc: 7.6128 7.6128 7.6128
angles: 90.00 90.00 90.00
Space group Fm-3m (No. 225)
Unique sites:
Lu 0.0000 0.0000 0.0000 [4 per cell]
Cd 0.0000 0.0000 0.5000 [4 per cell]
Pb 0.2500 0.2500 0.2500 [8 per cell]

***

VASP calculation (PBE) on a relaxed structure of LuCd2Pb.

Computed properties:
- Formation energy from the elements: -0.13 eV/atom
- Excess energy over the best structure of this formula in the dataset: 0.112 eV/atom

abc: 3.5490 3.5490 8.2477
angles: 90.00 90.00 90.00
Space group P4/mmm (No. 123)
Unique sites:
Lu 0.0000 0.0000 0.0000 [1 per cell]
Cd 0.5000 0.5000 0.2394 [2 per cell]
Pb 0.0000 0.0000 0.5000 [1 per cell]

***

VASP calculation (PBE) on a relaxed structure of LuCdPdPb.

Computed properties:
- Formation energy from the elements: -0.35 eV/atom

abc: 7.0772 7.0772 7.0772
angles: 90.00 90.00 90.00
Space group F-43m (No. 216)
Unique sites:
Lu 0.0000 0.0000 0.0000 [4 per cell]
Cd 0.2500 0.2500 0.7500 [4 per cell]
Pd 0.2500 0.2500 0.2500 [4 per cell]
Pb 0.0000 0.0000 0.5000 [4 per cell]

***

VASP calculation (PBE) on a relaxed structure of PmLuCdPb.

Computed properties:
- Formation energy from the elements: -0.36 eV/atom

abc: 7.5786 7.5786 7.5786
angles: 90.00 90.00 90.00
Space group F-43m (No. 216)
Unique sites:
Pm 0.0000 0.0000 0.0000 [4 per cell]
Lu 0.0000 0.0000 0.5000 [4 per cell]
Cd 0.2500 0.2500 0.7500 [4 per cell]
Pb 0.2500 0.2500 0.2500 [4 per cell]

***

VASP calculation (PBE) on a relaxed structure of PrLuCdPb.

Computed properties:
- Formation energy from the elements: -0.36 eV/atom

abc: 7.6372 7.6372 7.6372
angles: 90.00 90.00 90.00
Space group F-43m (No. 216)
Unique sites:
Pr 0.0000 0.0000 0.0000 [4 per cell]
Lu 0.0000 0.0000 0.5000 [4 per cell]
Cd 0.2500 0.2500 0.2500 [4 per cell]
Pb 0.2500 0.2500 0.7500 [4 per cell]

***

VASP calculation (PBE) on a relaxed structure of LuScCdPb.

Computed properties:
- Formation energy from the elements: -0.29 eV/atom

abc: 7.3076 7.3076 7.3076
angles: 90.00 90.00 90.00
Space group F-43m (No. 216)
Unique sites:
Lu 0.0000 0.0000 0.0000 [4 per cell]
Sc 0.0000 0.0000 0.5000 [4 per cell]
Cd 0.2500 0.2500 0.7500 [4 per cell]
Pb 0.2500 0.2500 0.2500 [4 per cell]

***

VASP calculation (PBE) on a relaxed structure of LuCdSnPb.

Computed properties:
- Formation energy from the elements: -0.12 eV/atom

abc: 7.5784 7.5784 7.5784
angles: 90.00 90.00 90.00
Space group F-43m (No. 216)
Unique sites:
Lu 0.0000 0.0000 0.0000 [4 per cell]
Cd 0.2500 0.2500 0.7500 [4 per cell]
Sn 0.2500 0.2500 0.2500 [4 per cell]
Pb 0.0000 0.0000 0.5000 [4 per cell]

***

VASP calculation (PBE) on a relaxed structure of SrLuCdPb.

Computed properties:
- Formation energy from the elements: -0.32 eV/atom

abc: 7.7996 7.7996 7.7996
angles: 90.00 90.00 90.00
Space group F-43m (No. 216)
Unique sites:
Sr 0.0000 0.0000 0.0000 [4 per cell]
Lu 0.0000 0.0000 0.5000 [4 per cell]
Cd 0.2500 0.2500 0.7500 [4 per cell]
Pb 0.2500 0.2500 0.2500 [4 per cell]

***

VASP calculation (PBE) on a relaxed structure of TbLuCdPb.

Computed properties:
- Formation energy from the elements: -0.34 eV/atom

abc: 7.5034 7.5034 7.5034
angles: 90.00 90.00 90.00
Space group F-43m (No. 216)
Unique sites:
Tb 0.0000 0.0000 0.0000 [4 per cell]
Lu 0.0000 0.0000 0.5000 [4 per cell]
Cd 0.2500 0.2500 0.7500 [4 per cell]
Pb 0.2500 0.2500 0.2500 [4 per cell]

***

VASP calculation (PBE) on a relaxed structure of LuThCdPb.

Computed properties:
- Formation energy from the elements: -0.19 eV/atom

abc: 7.6427 7.6427 7.6427
angles: 90.00 90.00 90.00
Space group F-43m (No. 216)
Unique sites:
Lu 0.0000 0.0000 0.0000 [4 per cell]
Th 0.0000 0.0000 0.5000 [4 per cell]
Cd 0.2500 0.2500 0.7500 [4 per cell]
Pb 0.2500 0.2500 0.2500 [4 per cell]

***

VASP calculation (PBE) on a relaxed structure of LuTlCdPb.

Computed properties:
- Formation energy from the elements: -0.06 eV/atom

abc: 7.5644 7.5644 7.5644
angles: 90.00 90.00 90.00
Space group F-43m (No. 216)
Unique sites:
Lu 0.0000 0.0000 0.0000 [4 per cell]
Tl 0.2500 0.2500 0.7500 [4 per cell]
Cd 0.0000 0.0000 0.5000 [4 per cell]
Pb 0.2500 0.2500 0.2500 [4 per cell]

***

VASP calculation (PBE) on a relaxed structure of YLuCdPb.

Computed properties:
- Formation energy from the elements: -0.35 eV/atom

abc: 7.4989 7.4989 7.4989
angles: 90.00 90.00 90.00
Space group F-43m (No. 216)
Unique sites:
Y 0.0000 0.0000 0.0000 [4 per cell]
Lu 0.0000 0.0000 0.5000 [4 per cell]
Cd 0.2500 0.2500 0.7500 [4 per cell]
Pb 0.2500 0.2500 0.2500 [4 per cell]

***

VASP calculation (PBE) on a relaxed structure of LuZrCdPb.

Computed properties:
- Formation energy from the elements: -0.12 eV/atom

abc: 7.2884 7.2884 7.2884
angles: 90.00 90.00 90.00
Space group F-43m (No. 216)
Unique sites:
Lu 0.0000 0.0000 0.0000 [4 per cell]
Zr 0.0000 0.0000 0.5000 [4 per cell]
Cd 0.2500 0.2500 0.7500 [4 per cell]
Pb 0.2500 0.2500 0.2500 [4 per cell]

***

VASP calculation (PBE) on a relaxed structure of LuCdPd.

Computed properties:
- Formation energy from the elements: -0.53 eV/atom

abc: 4.6735 4.6735 3.3824
angles: 90.00 90.00 120.00
Space group P-6m2 (No. 187)
Unique sites:
Lu 0.0000 0.0000 0.0000 [1 per cell]
Cd 0.3333 0.6667 0.5000 [1 per cell]
Pd 0.6667 0.3333 0.5000 [1 per cell]

***

VASP calculation (PBE) on a relaxed structure of LuCdPd.

Computed properties:
- Formation energy from the elements: -0.66 eV/atom

abc: 3.6099 3.6099 9.4223
angles: 90.00 90.00 90.00
Space group I4mm (No. 107)
Unique sites:
Lu 0.0000 0.0000 0.0000 [2 per cell]
Cd 0.0000 0.0000 0.6852 [2 per cell]
Pd 0.0000 0.0000 0.3516 [2 per cell]